Model w:
Compound: V2CoGe4
Source: the Alexandria database
Functional: PBE
Structure: relaxed

Cell lengths 2.9115, 5.6393, 7.2297 Å; angles 112.04, 101.62, 90.00 degrees
Closest atoms and distances in Å follow each position.
Atoms (fractional coordinates):
Co 0.0000 0.0000 0.0000  6 Ge 2.32-2.36
Ge 0.1129 0.7905 0.2257  1 Co 2.32, 3 V 2.52-2.57
Ge 0.8871 0.2095 0.7743  1 Co 2.32, 3 V 2.52-2.57
Ge 0.6079 0.3187 0.2158  2 Co 2.36, 3 V 2.50-2.62
Ge 0.3921 0.6813 0.7842  2 Co 2.36, 3 V 2.50-2.62
V 0.7512 0.7496 0.5023  6 Ge 2.50-2.62
V 0.2488 0.2504 0.4977  6 Ge 2.50-2.62

space group	C2/m (12)
mass density	6.98	g cm⁻³
density of states at the Fermi level	4.6	states/eV per cell
magnetization	0.3	μB per cell


Model x:
Compound: V2CoGe4
Source: the Alexandria database
Functional: PBE
Structure: relaxed

Cell lengths 4.5465, 4.5465, 6.8639 Å; angles 70.66, 70.66, 90.00 degrees
Closest atoms and distances in Å follow each position.
Atoms (fractional coordinates):
Ge 0.0000 0.5000 0.0000  2 Co 2.27
Ge 0.8068 0.8068 0.3864  1 Co 2.34, 1 V 2.54
Ge 0.5000 0.0000 0.0000  2 Co 2.27
Ge 0.1932 0.1932 0.6136  1 Co 2.34, 1 V 2.54
Co 0.0000 0.0000 0.0000  6 Ge 2.27-2.34
V 0.5976 0.5976 0.8048  1 V 2.37, 5 Ge 2.54-2.56
V 0.4024 0.4024 0.1952  1 V 2.37, 5 Ge 2.54-2.56

space group	I4/mmm (139)
mass density	5.98	g cm⁻³
density of states at the Fermi level	6.9	states/eV per cell
magnetization	0.9	μB per cell


Relative energies with respect to the most stable structure, expressed in eV/atom: model w 0.000; model x 0.443.


Model w:
Compound: Y2Co2Ge
Source: the Alexandria database
Functional: PBE
Structure: relaxed

Cell lengths 5.3941, 5.3599, 7.4918 Å; angles 101.46, 90.00, 120.21 degrees
Closest atoms and distances in Å follow each position.
Atoms (fractional coordinates):
Y 0.4957 0.7044 0.8529  6 Co 2.88-2.92, 3 Ge 3.13-3.22
Y 0.7912 0.2956 0.6471  6 Co 2.88-2.92, 3 Ge 3.13-3.22
Y 0.5043 0.2956 0.1471  6 Co 2.88-2.92, 3 Ge 3.13-3.22
Y 0.2088 0.7044 0.3529  6 Co 2.88-2.92, 3 Ge 3.13-3.22
Ge 0.1294 0.0000 0.7500  4 Co 2.49
Ge 0.8706 0.0000 0.2500  4 Co 2.49
Co 0.7205 0.7225 0.4986  1 Co 2.38, 2 Ge 2.49
Co 0.0020 0.7225 0.9986  1 Co 2.38, 2 Ge 2.49
Co 0.2795 0.2775 0.5014  1 Co 2.38, 2 Ge 2.49
Co 0.9980 0.2775 0.0014  1 Co 2.38, 2 Ge 2.49

space group	C2/c (15)
mass density	6.71	g cm⁻³
density of states at the Fermi level	9.6	states/eV per cell
magnetization	0.0	μB per cell


Model x:
Compound: Y2Co2Ge
Source: the Alexandria database
Functional: PBE
Structure: relaxed

Cell lengths 6.7499, 6.7499, 4.0575 Å; angles 90.00, 90.00, 90.00 degrees
Closest atoms and distances in Å follow each position.
Atoms (fractional coordinates):
Ge 0.5000 0.5000 0.0000  4 Co 2.70
Ge 0.0000 0.0000 0.0000  4 Co 2.70
Co 0.1180 0.3820 0.0000  1 Co 2.25
Co 0.6180 0.1180 0.0000  1 Co 2.25
Co 0.8820 0.6180 0.0000  1 Co 2.25
Co 0.3820 0.8820 0.0000  1 Co 2.25
Y 0.3163 0.1837 0.5000  6 Co 2.77-2.91
Y 0.8163 0.3163 0.5000  6 Co 2.77-2.91
Y 0.6837 0.8163 0.5000  6 Co 2.77-2.91
Y 0.1837 0.6837 0.5000  6 Co 2.77-2.91

space group	P4/mbm (127)
mass density	6.62	g cm⁻³
density of states at the Fermi level	9.0	states/eV per cell
magnetization	2.5	μB per cell


Relative energies with respect to the most stable structure, expressed in eV/atom: model w 0.000; model x 0.132.


Model w:
Compound: ZnCoGe3
Source: the Alexandria database
Functional: PBE
Structure: relaxed

Cell lengths 4.5671, 4.5671, 4.5671 Å; angles 90.00, 90.00, 90.00 degrees
Closest atoms and distances in Å follow each position.
Atoms (fractional coordinates):
Co 0.0000 0.0000 0.0000  6 Ge 2.28
Ge 0.0000 0.5000 0.0000  2 Co 2.28
Ge 0.0000 0.0000 0.5000  2 Co 2.28
Ge 0.5000 0.0000 0.0000  2 Co 2.28
Zn 0.5000 0.5000 0.5000  12 Ge 3.23

space group	Pm-3m (221)
mass density	5.97	g cm⁻³
density of states at the Fermi level	3.5	states/eV per cell
magnetization	0.0	μB per cell


Model x:
Compound: ZnCoGe3
Source: the Alexandria database
Functional: PBE
Structure: relaxed

Cell lengths 4.7804, 4.7804, 4.7804 Å; angles 90.00, 90.00, 90.00 degrees
Closest atoms and distances in Å follow each position.
Atoms (fractional coordinates):
Ge 0.5000 0.0000 0.0000  2 Zn 2.39
Ge 0.0000 0.0000 0.5000  2 Zn 2.39
Ge 0.0000 0.5000 0.0000  2 Zn 2.39
Zn 0.0000 0.0000 0.0000  6 Ge 2.39
Co 0.5000 0.5000 0.5000  12 Ge 3.38

space group	Pm-3m (221)
mass density	5.20	g cm⁻³
density of states at the Fermi level	3.8	states/eV per cell
magnetization	1.9	μB per cell


Relative energies with respect to the most stable structure, expressed in eV/atom: model w 0.000; model x 0.814.


Model w:
Compound: ZnCo3Ge
Source: the Alexandria database
Functional: PBE
Structure: relaxed

Cell lengths 4.5536, 5.6563, 5.6563 Å; angles 106.73, 90.00, 90.00 degrees
Closest atoms and distances in Å follow each position.
Atoms (fractional coordinates):
Co 0.7500 0.6290 0.7384  4 Co 2.28-2.48, 1 Ge 2.45, 2 Zn 2.47
Co 0.2500 0.3710 0.2616  4 Co 2.28-2.48, 1 Ge 2.45, 2 Zn 2.47
Co 0.2500 0.7384 0.6290  4 Co 2.28-2.48, 1 Ge 2.45, 2 Zn 2.47
Co 0.2500 0.7655 0.2345  2 Co 2.28, 2 Ge 2.41, 2 Zn 2.41
Co 0.7500 0.2616 0.3710  4 Co 2.28-2.48, 1 Ge 2.45, 2 Zn 2.47
Co 0.7500 0.2345 0.7655  2 Co 2.28, 2 Ge 2.41, 2 Zn 2.41
Zn 0.0000 0.0000 0.0000  2 Zn 2.28, 6 Co 2.41-2.47
Zn 0.5000 0.0000 0.0000  2 Zn 2.28, 6 Co 2.41-2.47
Ge 0.7500 0.6778 0.3222  4 Co 2.41-2.45
Ge 0.2500 0.3222 0.6778  4 Co 2.41-2.45

space group	Cmcm (63)
mass density	7.49	g cm⁻³
density of states at the Fermi level	9.5	states/eV per cell
magnetization	7.3	μB per cell


Model x:
Compound: ZnCo3Ge
Source: the Alexandria database
Functional: PBE
Structure: relaxed

Cell lengths 4.3044, 4.3044, 4.3044 Å; angles 90.00, 90.00, 90.00 degrees
Closest atoms and distances in Å follow each position.
Atoms (fractional coordinates):
Ge 0.0000 0.0000 0.0000  6 Co 2.15
Co 0.0000 0.5000 0.0000  2 Ge 2.15
Co 0.5000 0.0000 0.0000  2 Ge 2.15
Co 0.0000 0.0000 0.5000  2 Ge 2.15
Zn 0.5000 0.5000 0.5000  12 Co 3.04

space group	Pm-3m (221)
mass density	6.56	g cm⁻³
density of states at the Fermi level	7.6	states/eV per cell
magnetization	3.1	μB per cell


Relative energies with respect to the most stable structure, expressed in eV/atom: model w 0.000; model x 0.440.


Model w:
Compound: ZrCo4Ge2
Source: the Alexandria database
Functional: PBE
Structure: relaxed

Cell lengths 3.9957, 3.9957, 7.3419 Å; angles 74.21, 74.21, 60.00 degrees
Closest atoms and distances in Å follow each position.
Atoms (fractional coordinates):
Co 0.4402 0.4402 0.6793  3 Ge 2.40, 4 Co 2.43-2.50
Co 0.5598 0.5598 0.3207  3 Ge 2.40, 4 Co 2.43-2.50
Co 0.8561 0.8561 0.4316  1 Ge 2.39, 6 Co 2.43-2.50
Co 0.1439 0.1439 0.5684  1 Ge 2.39, 6 Co 2.43-2.50
Zr 0.0000 0.0000 0.0000  6 Ge 2.79, 2 Co 3.01
Ge 0.7420 0.7420 0.7740  4 Co 2.39-2.40
Ge 0.2580 0.2580 0.2260  4 Co 2.39-2.40

space group	R-3m (166)
mass density	8.14	g cm⁻³
density of states at the Fermi level	9.9	states/eV per cell
magnetization	5.2	μB per cell


Model x:
Compound: ZrCo4Ge2
Source: the Alexandria database
Functional: PBE
Structure: relaxed

Cell lengths 3.7310, 7.0755, 7.0755 Å; angles 90.00, 90.00, 90.00 degrees
Closest atoms and distances in Å follow each position.
Atoms (fractional coordinates):
Ge 0.0000 0.7821 0.2179  6 Co 2.36-2.37
Ge 0.0000 0.2179 0.7821  6 Co 2.36-2.37
Ge 0.5000 0.7179 0.7179  6 Co 2.36-2.37
Ge 0.5000 0.2821 0.2821  6 Co 2.36-2.37
Co 0.0000 0.9130 0.6475  3 Ge 2.36-2.37, 5 Co 2.42-2.53
Co 0.5000 0.1475 0.5870  3 Ge 2.36-2.37, 5 Co 2.42-2.53
Co 0.5000 0.8525 0.4130  3 Ge 2.36-2.37, 5 Co 2.42-2.53
Co 0.0000 0.0870 0.3525  3 Ge 2.36-2.37, 5 Co 2.42-2.53
Co 0.5000 0.5870 0.1475  3 Ge 2.36-2.37, 5 Co 2.42-2.53
Co 0.0000 0.6475 0.9130  3 Ge 2.36-2.37, 5 Co 2.42-2.53
Co 0.0000 0.3525 0.0870  3 Ge 2.36-2.37, 5 Co 2.42-2.53
Co 0.5000 0.4130 0.8525  3 Ge 2.36-2.37, 5 Co 2.42-2.53
Zr 0.0000 0.5000 0.5000  6 Ge 2.82-2.87, 4 Co 3.10
Zr 0.5000 0.0000 0.0000  6 Ge 2.82-2.87, 4 Co 3.10

space group	P4_2/mnm (136)
mass density	8.40	g cm⁻³
density of states at the Fermi level	17.5	states/eV per cell
magnetization	5.2	μB per cell


Relative energies with respect to the most stable structure, expressed in eV/atom: model w 0.104; model x 0.000.


Model w:
Compound: ZrCo4Ge
Source: the Alexandria database
Functional: PBE
Structure: relaxed

Cell lengths 4.7936, 4.7936, 4.7936 Å; angles 60.00, 60.00, 60.00 degrees
Closest atoms and distances in Å follow each position.
Atoms (fractional coordinates):
Zr 0.0000 0.0000 0.0000  12 Co 2.81, 4 Ge 2.94
Co 0.6244 0.6244 0.1269  6 Co 2.38-2.41
Co 0.1269 0.6244 0.6244  6 Co 2.38-2.41
Co 0.6244 0.6244 0.6244  6 Co 2.38-2.41
Co 0.6244 0.1269 0.6244  6 Co 2.38-2.41
Ge 0.2500 0.2500 0.2500  12 Co 2.81, 4 Zr 2.94

space group	F-43m (216)
mass density	8.52	g cm⁻³
density of states at the Fermi level	9.1	states/eV per cell
magnetization	3.4	μB per cell


Model x:
Compound: ZrCo4Ge
Source: the Alexandria database
Functional: PBE
Structure: relaxed

Cell lengths 3.5814, 6.4087, 6.9576 Å; angles 90.00, 90.00, 90.00 degrees
Closest atoms and distances in Å follow each position.
Atoms (fractional coordinates):
Co 0.5000 0.9558 0.7500  2 Ge 2.50, 8 Co 2.51-2.66, 2 Zr 2.68
Co 0.5000 0.3022 0.9614  2 Ge 2.37, 2 Co 2.59-2.60
Co 0.0000 0.0000 0.0000  2 Ge 2.27, 4 Co 2.51
Co 0.5000 0.6978 0.4614  2 Ge 2.37, 2 Co 2.59-2.60
Co 0.5000 0.6978 0.0386  2 Ge 2.37, 2 Co 2.59-2.60
Co 0.5000 0.3022 0.5386  2 Ge 2.37, 2 Co 2.59-2.60
Co 0.0000 0.0000 0.5000  2 Ge 2.27, 4 Co 2.51
Co 0.5000 0.0442 0.2500  2 Ge 2.50, 8 Co 2.51-2.66, 2 Zr 2.68
Zr 0.0000 0.6453 0.7500  8 Co 2.68-2.86, 1 Ge 2.68
Zr 0.0000 0.3547 0.2500  8 Co 2.68-2.86, 1 Ge 2.68
Ge 0.0000 0.7728 0.2500  8 Co 2.27-2.50
Ge 0.0000 0.2272 0.7500  8 Co 2.27-2.50

space group	Pmma (51)
mass density	8.31	g cm⁻³
density of states at the Fermi level	13.7	states/eV per cell
magnetization	5.4	μB per cell


Relative energies with respect to the most stable structure, expressed in eV/atom: model w 0.000; model x 0.028.


Model w:
Compound: ZrCo3Ge3
Source: the Alexandria database
Functional: PBE
Structure: relaxed

Cell lengths 4.0010, 8.1924, 8.1924 Å; angles 120.00, 90.00, 90.00 degrees
Closest atoms and distances in Å follow each position.
Atoms (fractional coordinates):
Co 0.7500 0.4358 0.0538  4 Ge 2.29-2.33
Co 0.7500 0.9462 0.3820  4 Ge 2.29-2.33
Co 0.2500 0.0538 0.6180  4 Ge 2.29-2.33
Co 0.2500 0.5642 0.9462  4 Ge 2.29-2.33
Co 0.7500 0.6180 0.5642  4 Ge 2.29-2.33
Co 0.2500 0.3820 0.4358  4 Ge 2.29-2.33
Zr 0.2500 0.6667 0.3333  9 Co 2.85-2.91, 6 Ge 3.17
Zr 0.7500 0.3333 0.6667  9 Co 2.85-2.91, 6 Ge 3.17
Ge 0.7500 0.7267 0.0678  4 Co 2.29-2.33
Ge 0.7500 0.9322 0.6589  4 Co 2.29-2.33
Ge 0.2500 0.0678 0.3411  4 Co 2.29-2.33
Ge 0.2500 0.2733 0.9322  4 Co 2.29-2.33
Ge 0.2500 0.6589 0.7267  4 Co 2.29-2.33
Ge 0.7500 0.3411 0.2733  4 Co 2.29-2.33

space group	P6_3/m (176)
mass density	6.94	g cm⁻³
density of states at the Fermi level	13.0	states/eV per cell
magnetization	0.0	μB per cell


Model x:
Compound: ZrCo3Ge3
Source: the Alexandria database
Functional: PBE
Structure: relaxed

Cell lengths 6.2804, 6.2804, 6.2804 Å; angles 90.00, 90.00, 90.00 degrees
Closest atoms and distances in Å follow each position.
Atoms (fractional coordinates):
Ge 0.7500 0.5000 0.0000  4 Co 2.22
Ge 0.2500 0.5000 0.0000  4 Co 2.22
Ge 0.5000 0.0000 0.2500  4 Co 2.22
Ge 0.0000 0.7500 0.5000  4 Co 2.22
Ge 0.5000 0.0000 0.7500  4 Co 2.22
Ge 0.0000 0.2500 0.5000  4 Co 2.22
Zr 0.5000 0.5000 0.5000  12 Ge 3.51, 12 Co 3.51
Zr 0.0000 0.0000 0.0000  12 Ge 3.51, 12 Co 3.51
Co 0.0000 0.5000 0.7500  4 Ge 2.22
Co 0.5000 0.2500 0.0000  4 Ge 2.22
Co 0.0000 0.5000 0.2500  4 Ge 2.22
Co 0.5000 0.7500 0.0000  4 Ge 2.22
Co 0.2500 0.0000 0.5000  4 Ge 2.22
Co 0.7500 0.0000 0.5000  4 Ge 2.22

space group	Pm-3n (223)
mass density	6.51	g cm⁻³
density of states at the Fermi level	21.1	states/eV per cell
magnetization	0.0	μB per cell


Relative energies with respect to the most stable structure, expressed in eV/atom: model w 0.000; model x 0.507.


Model w:
Compound: Co4H
Source: the Alexandria database
Functional: PBE
Structure: relaxed

Cell lengths 3.5737, 3.5737, 3.5737 Å; angles 90.00, 90.00, 90.00 degrees
Closest atoms and distances in Å follow each position.
Atoms (fractional coordinates):
Co 0.0000 0.0000 0.0000  12 Co 2.53
Co 0.5000 0.5000 0.0000  2 H 1.79
Co 0.0000 0.5000 0.5000  2 H 1.79
Co 0.5000 0.0000 0.5000  2 H 1.79
H 0.5000 0.5000 0.5000  6 Co 1.79

space group	Pm-3m (221)
mass density	8.61	g cm⁻³
density of states at the Fermi level	5.0	states/eV per cell
magnetization	6.2	μB per cell


Model x:
Compound: Co4H
Source: the Alexandria database
Functional: PBE
Structure: relaxed

Cell lengths 4.0632, 5.0657, 5.0720 Å; angles 60.04, 90.00, 90.00 degrees
Closest atoms and distances in Å follow each position.
Atoms (fractional coordinates):
Co 0.7476 0.3299 0.3404  1 H 1.81
Co 0.2524 0.6701 0.6596  1 H 1.81
Co 0.2476 0.1701 0.6596  1 H 1.81
Co 0.7500 0.8372 0.8256  2 H 1.80
Co 0.2500 0.6628 0.1745  2 H 1.80
Co 0.2500 0.1628 0.1744  2 H 1.80
Co 0.7500 0.3372 0.8255  2 H 1.80
Co 0.7524 0.8299 0.3404  1 H 1.81
H 0.5000 0.0000 0.0000  6 Co 1.80-1.81
H 0.0000 0.5000 0.0000  6 Co 1.80-1.81

space group	Cmce (64)
mass density	8.69	g cm⁻³
density of states at the Fermi level	6.3	states/eV per cell
magnetization	12.0	μB per cell


Relative energies with respect to the most stable structure, expressed in eV/atom: model w 0.035; model x 0.000.